No. 1
A plane-wave DFT calculation with GGA-PBE was carried out for a relaxed structure of Pm9NdEr2.

Output
ρ: 7.31 Mg/m³
ΔE_f: 0.02 eV per atom

a b c (Å): 5.130 5.130 15.388
angles (deg): 90.00 90.00 90.00
Element x y z (fractional)
Pm: 0.000 0.000 0.000
Pm: 0.000 0.000 0.335
Pm: 0.000 0.000 0.665
Pm: 0.000 0.500 0.169
Pm: 0.000 0.500 0.500
Pm: 0.000 0.500 0.831
Pm: 0.500 0.000 0.169
Pm: 0.500 0.000 0.500
Pm: 0.500 0.000 0.831
Nd: 0.500 0.500 0.000
Er: 0.500 0.500 0.335
Er: 0.500 0.500 0.665



No. 2
A plane-wave DFT calculation with GGA-PBE was carried out for a relaxed structure of NdScBi2.

Output
ρ: 7.92 Mg/m³
E above lowest polymorph: 0.18 eV per formula unit
ΔE_f: -0.75 eV per atom

a b c (Å): 4.421 4.421 7.517
angles (deg): 90.00 90.00 120.00
Element x y z (fractional)
Nd: 0.000 0.000 0.000
Sc: 0.000 0.000 0.500
Bi: 0.333 0.667 0.726
Bi: 0.667 0.333 0.274



No. 3
A plane-wave DFT calculation with GGA-PBE was carried out for a relaxed structure of TiAl2Mo.

Output
ρ: 5.28 Mg/m³
E above lowest polymorph: 0.00 eV per formula unit
ΔE_f: -0.32 eV per atom

a b c (Å): 3.849 3.849 4.199
angles (deg): 90.00 90.00 90.00
Element x y z (fractional)
Ti: 0.000 0.000 0.000
Al: 0.000 0.500 0.500
Al: 0.500 0.000 0.500
Mo: 0.500 0.500 0.000



No. 4
A plane-wave DFT calculation with GGA-PBE was carried out for a relaxed structure of SrMgCo2.

Output
ρ: 4.23 Mg/m³
E above lowest polymorph: 0.74 eV per formula unit
ΔE_f: 0.33 eV per atom

a b c (Å): 6.375 6.375 6.375
angles (deg): 146.89 140.12 52.77
Element x y z (fractional)
Sr: 0.000 0.000 0.000
Mg: 0.744 0.244 0.500
Co: 0.267 0.767 0.500
Co: 0.374 0.374 0.000